(1)
# Ca2Ag2Te, relaxed, DFT PBE-GGA
data_Ca2Ag2Te
_symmetry_space_group_name_H-M 'P 4/m b m'
_symmetry_Int_Tables_number 127
_symmetry_space_group_name_Hall '-P 4 2ab'
_cell_length_a 8.2278
_cell_length_b 8.2278
_cell_length_c 4.2690
_cell_angle_alpha 90.00
_cell_angle_beta 90.00
_cell_angle_gamma 90.00
loop_
_atom_site_label
_atom_site_type_symbol
_atom_site_fract_x
_atom_site_fract_y
_atom_site_fract_z
_atom_site_occupancy
Ca1 Ca 0.1686 0.3314 0.0000 1
Ag1 Ag 0.1229 0.6229 0.5000 1
Te1 Te 0.0000 0.0000 0.0000 1
# **Formation energy without anion corrections**: -0.44 eV per atom
# **Calculated density**: 4.9 g/cm³
# **Energy above the lowest structure with this stoichiometry**: 167.2 meV/atom
# **Total energy**: -3.008 eV per atom
# **Volume**: 28.90 Å³ per atom

(2)
# CaAgTe, relaxed, DFT PBE-GGA
data_CaAgTe
_symmetry_space_group_name_H-M 'R -3 m'
_symmetry_Int_Tables_number 166
_symmetry_space_group_name_Hall '-R 3 2"'
_cell_length_a 4.5215
_cell_length_b 4.5215
_cell_length_c 32.3535
_cell_angle_alpha 90.00
_cell_angle_beta 90.00
_cell_angle_gamma 120.00
loop_
_atom_site_label
_atom_site_type_symbol
_atom_site_fract_x
_atom_site_fract_y
_atom_site_fract_z
_atom_site_occupancy
Ca1 Ca 0.0000 0.0000 0.1187 1
Ag1 Ag 0.0000 0.0000 0.3587 1
Te1 Te 0.0000 0.0000 0.2692 1
# **Formation energy without anion corrections**: -0.51 eV per atom
# **Calculated density**: 4.8 g/cm³
# **Energy above the lowest structure with this stoichiometry**: 135.5 meV/atom
# **Total energy**: -3.170 eV per atom
# **Volume**: 31.82 Å³ per atom

(3)
# CaAgTe, relaxed, DFT PBE-GGA
data_CaAgTe
_symmetry_space_group_name_H-M 'F -4 3 m'
_symmetry_Int_Tables_number 216
_symmetry_space_group_name_Hall 'F -4 2 3'
_cell_length_a 7.1656
_cell_length_b 7.1656
_cell_length_c 7.1656
_cell_angle_alpha 90.00
_cell_angle_beta 90.00
_cell_angle_gamma 90.00
loop_
_atom_site_label
_atom_site_type_symbol
_atom_site_fract_x
_atom_site_fract_y
_atom_site_fract_z
_atom_site_occupancy
Ca1 Ca 0.0000 0.0000 0.0000 1
Ag1 Ag 0.2500 0.2500 0.7500 1
Te1 Te 0.2500 0.2500 0.2500 1
# **Formation energy without anion corrections**: -0.56 eV per atom
# **Calculated density**: 5.0 g/cm³
# **Energy above the lowest structure with this stoichiometry**: 85.1 meV/atom
# **Total energy**: -3.221 eV per atom
# **Volume**: 30.66 Å³ per atom

(4)
# CaAg2Te2, relaxed, DFT PBE-GGA
data_CaAg2Te2
_symmetry_space_group_name_H-M 'P 4/m b m'
_symmetry_Int_Tables_number 127
_symmetry_space_group_name_Hall '-P 4 2ab'
_cell_length_a 8.2162
_cell_length_b 8.2162
_cell_length_c 4.0218
_cell_angle_alpha 90.00
_cell_angle_beta 90.00
_cell_angle_gamma 90.00
loop_
_atom_site_label
_atom_site_type_symbol
_atom_site_fract_x
_atom_site_fract_y
_atom_site_fract_z
_atom_site_occupancy
Ca1 Ca 0.0000 0.0000 0.0000 1
Ag1 Ag 0.1269 0.3731 0.5000 1
Te1 Te 0.1760 0.6760 0.0000 1
# **Formation energy without anion corrections**: -0.38 eV per atom
# **Calculated density**: 6.3 g/cm³
# **Total energy**: -3.182 eV per atom
# **Volume**: 27.15 Å³ per atom

(5)
# Ca3AgTe, relaxed, DFT PBE-GGA
data_Ca3AgTe
_symmetry_space_group_name_H-M 'P m -3 m'
_symmetry_Int_Tables_number 221
_symmetry_space_group_name_Hall '-P 4 2 3'
_cell_length_a 5.6634
_cell_length_b 5.6634
_cell_length_c 5.6634
_cell_angle_alpha 90.00
_cell_angle_beta 90.00
_cell_angle_gamma 90.00
loop_
_atom_site_label
_atom_site_type_symbol
_atom_site_fract_x
_atom_site_fract_y
_atom_site_fract_z
_atom_site_occupancy
Ca1 Ca 0.0000 0.0000 0.5000 1
Ag1 Ag 0.0000 0.0000 0.0000 1
Te1 Te 0.5000 0.5000 0.5000 1
# **Formation energy without anion corrections**: -0.35 eV per atom
# **Calculated density**: 3.3 g/cm³
# **Energy above the lowest structure with this stoichiometry**: 0.0 meV/atom
# **Total energy**: -2.749 eV per atom
# **Volume**: 36.33 Å³ per atom

(6)
# Ca2AgTe2, relaxed, DFT PBE-GGA
data_Ca2AgTe2
_symmetry_space_group_name_H-M 'P 4/m b m'
_symmetry_Int_Tables_number 127
_symmetry_space_group_name_Hall '-P 4 2ab'
_cell_length_a 8.4901
_cell_length_b 8.4901
_cell_length_c 4.1121
_cell_angle_alpha 90.00
_cell_angle_beta 90.00
_cell_angle_gamma 90.00
loop_
_atom_site_label
_atom_site_type_symbol
_atom_site_fract_x
_atom_site_fract_y
_atom_site_fract_z
_atom_site_occupancy
Ca1 Ca 0.1463 0.3537 0.0000 1
Ag1 Ag 0.0000 0.0000 0.0000 1
Te1 Te 0.1612 0.6612 0.5000 1
# **Formation energy without anion corrections**: -0.88 eV per atom
# **Calculated density**: 5.0 g/cm³
# **Energy above the lowest structure with this stoichiometry**: 73.6 meV/atom
# **Total energy**: -3.512 eV per atom
# **Volume**: 29.64 Å³ per atom

(7)
# CaAg8Te6, relaxed, DFT PBE-GGA
data_CaAg8Te6
_symmetry_space_group_name_H-M 'R -3'
_symmetry_Int_Tables_number 148
_symmetry_space_group_name_Hall '-R 3'
_cell_length_a 7.7879
_cell_length_b 7.7879
_cell_length_c 22.6084
_cell_angle_alpha 90.00
_cell_angle_beta 90.00
_cell_angle_gamma 120.00
loop_
_atom_site_label
_atom_site_type_symbol
_atom_site_fract_x
_atom_site_fract_y
_atom_site_fract_z
_atom_site_occupancy
Ca1 Ca 0.0000 0.0000 0.0000 1
Ag1 Ag 0.0000 0.0000 0.4323 1
Ag2 Ag 0.0284 0.2595 0.1377 1
Te1 Te 0.0002 0.3005 0.2627 1
# **Formation energy without anion corrections**: -0.22 eV per atom
# **Calculated density**: 7.0 g/cm³
# **Total energy**: -3.134 eV per atom
# **Volume**: 26.39 Å³ per atom

(8)
# CaAg4Te, relaxed, DFT PBE-GGA
data_CaAg4Te
_symmetry_space_group_name_H-M 'F -4 3 m'
_symmetry_Int_Tables_number 216
_symmetry_space_group_name_Hall 'F -4 2 3'
_cell_length_a 8.0769
_cell_length_b 8.0769
_cell_length_c 8.0769
_cell_angle_alpha 90.00
_cell_angle_beta 90.00
_cell_angle_gamma 90.00
loop_
_atom_site_label
_atom_site_type_symbol
_atom_site_fract_x
_atom_site_fract_y
_atom_site_fract_z
_atom_site_occupancy
Ca1 Ca 0.0000 0.0000 0.0000 1
Ag1 Ag 0.1252 0.1252 0.3748 1
Te1 Te 0.2500 0.2500 0.7500 1
# **Formation energy without anion corrections**: -0.28 eV per atom
# **Calculated density**: 7.6 g/cm³
# **Total energy**: -3.034 eV per atom
# **Volume**: 21.95 Å³ per atom